First-principles (GGA-PBE) data for a geometry-optimized YBe2TlNi structure, as listed in Alexandria.

## Properties
Symmetry = P4/mmm
DOS(E_F) = 8.46 states/eV per cell
Crystal system = tetragonal
ΔH_f (0 K) = 1.92 eV/atom

Cell: 4.972 5.811 4.972 Å, 90.00 90.00 90.00°
Last column: magnetic moment on the atom in μB.
Fractional positions:
Y  0.000  0.000  0.000  -0.23
Ni  0.500  0.500  0.500  -0.05
Tl  0.000  0.500  0.000  -0.05
Be  0.000  0.000  0.500  -0.02
Be  0.500  0.000  0.000  -0.06

First-principles (GGA-PBE) data for a geometry-optimized TmBe4Ni8 structure, as listed in Alexandria.

## Properties
Symmetry = I4/mmm
DOS(E_F) = 9.53 states/eV per cell
Crystal system = tetragonal
ΔH_f (0 K) = -0.37 eV/atom

Cell: 4.543 5.997 5.997 Å, 81.75 67.74 67.74°
Fractional positions:
Tm  0.000  0.000  0.000
Be  0.000  0.000  0.500
Be  0.500  0.000  0.500
Be  0.000  0.500  0.000
Be  0.500  0.500  0.000
Ni  0.000  0.349  0.651
Ni  0.000  0.651  0.349
Ni  0.349  0.651  0.651
Ni  0.651  0.349  0.349
Ni  0.500  0.775  0.225
Ni  0.500  0.225  0.775
Ni  0.275  0.225  0.225
Ni  0.725  0.775  0.775

First-principles (GGA-PBE) data for a geometry-optimized TmBe2Ni2 structure, as listed in Alexandria.

## Properties
Symmetry = I4/mmm
DOS(E_F) = 1.94 states/eV per cell
Crystal system = tetragonal
ΔH_f (0 K) = -0.37 eV/atom

Cell: 3.716 3.716 5.352 Å, 110.31 110.31 90.00°
Fractional positions:
Tm  0.000  0.000  0.000
Be  0.626  0.626  0.253
Be  0.374  0.374  0.747
Ni  0.750  0.250  0.500
Ni  0.250  0.750  0.500

First-principles (GGA-PBE) data for a geometry-optimized Tm2BeNi structure, as listed in Alexandria.

## Properties
Symmetry = P4/mmm
DOS(E_F) = 2.60 states/eV per cell
Crystal system = tetragonal
ΔH_f (0 K) = -0.21 eV/atom

Cell: 3.357 3.357 6.593 Å, 90.00 90.00 90.00°
Fractional positions:
Ni  0.500  0.500  0.500
Tm  0.000  0.000  0.748
Tm  0.000  0.000  0.252
Be  0.500  0.500  0.000

First-principles (GGA-PBE) data for a geometry-optimized Tm2Be15Ni2 structure, as listed in Alexandria.

## Properties
Symmetry = R-3m
DOS(E_F) = 7.79 states/eV per cell
Crystal system = trigonal
ΔH_f (0 K) = -0.22 eV/atom

Cell: 5.844 5.844 5.844 Å, 82.99 82.99 82.99°
Fractional positions:
Tm  0.342  0.342  0.342
Tm  0.658  0.658  0.658
Be  0.500  0.000  0.000
Be  0.000  0.000  0.500
Be  0.000  0.500  0.000
Be  0.000  0.724  0.276
Be  0.724  0.276  0.000
Be  0.276  0.000  0.724
Be  0.276  0.724  0.000
Be  0.724  0.000  0.276
Be  0.000  0.276  0.724
Be  0.153  0.664  0.664
Be  0.664  0.664  0.153
Be  0.664  0.153  0.664
Be  0.847  0.336  0.336
Be  0.336  0.336  0.847
Be  0.336  0.847  0.336
Ni  0.104  0.104  0.104
Ni  0.896  0.896  0.896

First-principles (GGA-PBE) data for a geometry-optimized TmBe2Ni structure, as listed in Alexandria.

## Properties
Symmetry = R-3m
DOS(E_F) = 2.37 states/eV per cell
Crystal system = trigonal
ΔH_f (0 K) = -0.28 eV/atom

Cell: 3.745 3.745 5.157 Å, 68.71 68.71 60.00°
Fractional positions:
Ni  0.500  0.500  0.500
Tm  0.000  0.000  0.000
Be  0.807  0.807  0.580
Be  0.193  0.193  0.420

First-principles (GGA-PBE) data for a geometry-optimized TmBeNi structure, as listed in Alexandria.

## Properties
Symmetry = R3m
DOS(E_F) = 2.17 states/eV per cell
Crystal system = trigonal
ΔH_f (0 K) = -0.05 eV/atom

Cell: 3.598 3.598 4.963 Å, 68.75 68.75 60.00°
Fractional positions:
Be  0.389  0.389  0.834
Ni  0.095  0.095  0.714
Tm  0.590  0.590  0.231

First-principles (GGA-PBE) data for a geometry-optimized TmBe6Ni6 structure, as listed in Alexandria.

## Properties
Symmetry = Immm
DOS(E_F) = 7.33 states/eV per cell
Crystal system = orthorhombic
ΔH_f (0 K) = -0.36 eV/atom

Cell: 4.460 5.923 5.923 Å, 81.75 67.88 67.88°
Fractional positions:
Tm  0.000  0.000  0.000
Be  0.000  0.500  0.000
Be  0.500  0.500  0.000
Be  0.000  0.000  0.500
Be  0.500  0.000  0.500
Be  0.500  0.763  0.237
Be  0.500  0.237  0.763
Ni  0.349  0.651  0.651
Ni  0.651  0.349  0.349
Ni  0.000  0.348  0.652
Ni  0.000  0.652  0.348
Ni  0.293  0.207  0.207
Ni  0.707  0.793  0.793

First-principles (GGA-PBE) data for a geometry-optimized Tm2BeNi3 structure, as listed in Alexandria.

## Properties
Symmetry = P6_3/mmc
DOS(E_F) = 5.07 states/eV per cell
Crystal system = hexagonal
ΔH_f (0 K) = -0.43 eV/atom

Cell: 5.121 5.121 7.772 Å, 90.00 90.00 120.00°
Fractional positions:
Tm  0.667  0.333  0.443
Tm  0.333  0.667  0.557
Tm  0.333  0.667  0.943
Tm  0.667  0.333  0.057
Be  0.000  0.000  0.500
Be  0.000  0.000  0.000
Ni  0.162  0.325  0.250
Ni  0.325  0.162  0.750
Ni  0.838  0.675  0.750
Ni  0.162  0.838  0.250
Ni  0.838  0.162  0.750
Ni  0.675  0.838  0.250

First-principles (GGA-PBE) data for a geometry-optimized Tm3BeNi3 structure, as listed in Alexandria.

## Properties
Symmetry = Cmcm
DOS(E_F) = 9.87 states/eV per cell
Crystal system = orthorhombic
ΔH_f (0 K) = -0.44 eV/atom

Cell: 3.702 5.258 13.473 Å, 90.00 90.00 110.61°
Fractional positions:
Tm  0.217  0.433  0.895
Tm  0.783  0.567  0.105
Tm  0.217  0.433  0.605
Tm  0.783  0.567  0.395
Tm  0.495  0.990  0.750
Tm  0.505  0.010  0.250
Be  0.500  0.000  0.000
Be  0.500  0.000  0.500
Ni  0.933  0.867  0.919
Ni  0.067  0.133  0.081
Ni  0.933  0.867  0.581
Ni  0.067  0.133  0.419
Ni  0.788  0.576  0.750
Ni  0.212  0.424  0.250

First-principles (GGA-PBE) data for a geometry-optimized TmBeNi structure, as listed in Alexandria.

## Properties
Symmetry = P-6m2
DOS(E_F) = 2.33 states/eV per cell
Crystal system = hexagonal
ΔH_f (0 K) = -0.31 eV/atom

Cell: 3.651 3.886 3.886 Å, 120.00 90.00 90.00°
Fractional positions:
Ni  0.167  0.667  0.333
Tm  0.667  0.333  0.667
Be  0.167  0.000  0.000

First-principles (GGA-PBE) data for a geometry-optimized Tm2Be12Ni5 structure, as listed in Alexandria.

## Properties
Symmetry = R-3m
DOS(E_F) = 9.12 states/eV per cell
Crystal system = trigonal
ΔH_f (0 K) = -0.28 eV/atom

Cell: 5.939 5.939 5.939 Å, 83.74 83.74 83.74°
Fractional positions:
Tm  0.659  0.659  0.659
Tm  0.341  0.341  0.341
Be  0.277  0.723  0.000
Be  0.723  0.000  0.277
Be  0.000  0.277  0.723
Be  0.723  0.277  0.000
Be  0.277  0.000  0.723
Be  0.000  0.723  0.277
Be  0.336  0.336  0.851
Be  0.336  0.851  0.336
Be  0.851  0.336  0.336
Be  0.664  0.149  0.664
Be  0.664  0.664  0.149
Be  0.149  0.664  0.664
Ni  0.000  0.000  0.500
Ni  0.000  0.500  0.000
Ni  0.500  0.000  0.000
Ni  0.899  0.899  0.899
Ni  0.101  0.101  0.101

> Which formula does entry 2 have?

TmBe4Ni8

> Among the records above, which one has the lowest ΔH_f (0 K)?

Tm3BeNi3